An optimized crystal structure of SrSn3Cl, computed with PBE-GGA.

Computed properties:
The space group is Pm-3m, No. 221. As for the distance to the lowest polymorph of the same formula: 807 meV/atom. Its calculated total energy is -2.363 eV per atom. For the energy relative to the elements, uncorrected, the calculation gives 0.744 eV/atom.

Cell and atoms, written as POSCAR:
```
SrSn3Cl
1.0
6.227 0.000 0.000
0.000 6.227 0.000
0.000 0.000 6.227
Sr Sn Cl
1 3 1
direct
0.000 0.000 0.000
0.000 0.000 0.500
0.000 0.500 0.000
0.500 0.000 0.000
0.500 0.500 0.500
```